Zr2VIr, relaxed, DFT PBE; calculated total energy = -36.672 eV/cell; DFT formation energy = -0.399 eV per atom; distance to the lowest polymorph of the same formula = 54 meV per atom
1.0
0.0000 3.3072 3.3072
3.3072 0.0000 3.3072
3.3072 3.3072 0.0000
Zr V Ir
2 1 1
Direct
0.2500 0.2500 0.2500 Zr
0.7500 0.7500 0.7500 Zr
0.0000 0.0000 0.0000 V
0.5000 0.5000 0.5000 Ir

=====

Tl3Ag2I2F4, relaxed, DFT PBE; calculated total energy = -35.380 eV/cell; energy relative to the elements, uncorrected = -11.99 eV/f.u.
1.0
-2.2977 2.2977 12.9919
2.2977 -2.2977 12.9919
2.2977 2.2977 -12.9919
Tl Ag I F
3 2 2 4
Direct
0.0000 0.0000 0.0000 Tl
0.1483 0.1483 0.0000 Tl
0.8517 0.8517 0.0000 Tl
0.4185 0.4185 0.0000 Ag
0.5815 0.5815 0.0000 Ag
0.3033 0.3033 0.0000 I
0.6967 0.6967 0.0000 I
0.0695 0.5695 0.5000 F
0.4305 0.9305 0.5000 F
0.5695 0.0695 0.5000 F
0.9305 0.4305 0.5000 F

=====

BaCaPO2, relaxed, DFT PBE; calculated total energy = -21.790 eV/cell; energy relative to the elements, uncorrected = -2.54 eV/f.u.; distance to the lowest polymorph of the same formula = 520 meV per atom
1.0
4.6275 0.0000 0.0000
0.0000 4.6275 0.0000
0.0000 0.0000 6.0194
Ba Ca P O
1 1 1 2
Direct
0.0000 0.0000 0.0000 Ba
0.5000 0.5000 0.5000 Ca
0.0000 0.0000 0.5000 P
0.0000 0.5000 0.0000 O
0.5000 0.0000 0.0000 O

=====

LaThAlGa, relaxed, DFT PBE; calculated total energy = -20.482 eV/cell; DFT formation energy = -0.341 eV per atom
1.0
0.0000 3.7489 3.7489
3.7489 0.0000 3.7489
3.7489 3.7489 0.0000
La Th Al Ga
1 1 1 1
Direct
0.0000 0.0000 0.0000 La
0.5000 0.5000 0.5000 Th
0.7500 0.7500 0.7500 Al
0.2500 0.2500 0.2500 Ga

=====

Ti2RhSe, relaxed, DFT PBE; calculated total energy = -56.618 eV/cell; energy relative to the elements, uncorrected = -1.68 eV/f.u.
1.0
-3.4429 3.4429 2.8521
3.4429 -3.4429 2.8521
3.4429 3.4429 -2.8521
Ti Rh Se
4 2 2
Direct
0.1200 0.6250 0.9950 Ti
0.3750 0.3700 0.4950 Ti
0.6300 0.1250 0.0050 Ti
0.8750 0.8800 0.5050 Ti
0.0000 0.0000 0.0000 Rh
0.7500 0.2500 0.5000 Rh
0.2500 0.7500 0.5000 Se
0.5000 0.5000 0.0000 Se

=====

Ba2CrMo, relaxed, DFT PBE; calculated total energy = -40.390 eV/cell; DFT formation energy = 1.026 eV per atom; distance to the lowest polymorph of the same formula = 299 meV per atom
1.0
-6.1781 6.1781 2.2663
6.1781 -6.1781 2.2663
6.1781 6.1781 -2.2663
Ba Cr Mo
4 2 2
Direct
0.3750 0.0491 0.1741 Ba
0.7991 0.6250 0.6741 Ba
0.8750 0.2009 0.8259 Ba
0.9509 0.1250 0.3259 Ba
0.0000 0.0000 0.0000 Cr
0.7500 0.2500 0.5000 Cr
0.2500 0.7500 0.5000 Mo
0.5000 0.5000 0.0000 Mo

=====

NbGePd3, relaxed, DFT PBE; calculated total energy = -27.963 eV/cell; DFT formation energy = 0.460 eV per atom; distance to the lowest polymorph of the same formula = 692 meV per atom
1.0
4.5935 0.0000 0.0000
0.0000 4.5935 0.0000
0.0000 0.0000 4.5935
Nb Ge Pd
1 1 3
Direct
0.0000 0.0000 0.0000 Nb
0.5000 0.5000 0.5000 Ge
0.0000 0.5000 0.5000 Pd
0.5000 0.0000 0.5000 Pd
0.5000 0.5000 0.0000 Pd

=====

Pm2P4PtRh3, relaxed, DFT PBE; calculated total energy = -69.949 eV/cell; DFT formation energy = -1.071 eV per atom
1.0
4.2017 0.0000 0.0000
0.0000 4.2017 0.0000
0.0000 0.0000 9.5221
Pm P Pt Rh
2 4 1 3
Direct
0.0000 0.5000 0.2413 Pm
0.5000 0.0000 0.7587 Pm
0.0000 0.0000 0.0000 P
0.0000 0.5000 0.6409 P
0.5000 0.0000 0.3591 P
0.5000 0.5000 0.0000 P
0.0000 0.0000 0.5000 Pt
0.0000 0.5000 0.8889 Rh
0.5000 0.0000 0.1111 Rh
0.5000 0.5000 0.5000 Rh

=====

BaSnBMo2, relaxed, DFT PBE; calculated total energy = -17.148 eV/cell; DFT formation energy = 3.423 eV per atom
1.0
5.2302 0.0000 0.0000
0.0000 5.2302 0.0000
0.0000 0.0000 6.0256
Ba Sn B Mo
1 1 1 2
Direct
0.0000 0.0000 0.0000 Ba
0.0000 0.0000 0.5000 Sn
0.5000 0.5000 0.5000 B
0.0000 0.5000 0.0000 Mo
0.5000 0.0000 0.0000 Mo

=====

EuAgAu2, relaxed, DFT PBE; calculated total energy = -21.206 eV/cell; DFT formation energy = -0.381 eV per atom; distance to the lowest polymorph of the same formula = 91 meV per atom
1.0
4.6970 0.0000 0.0000
0.0000 4.6970 0.0000
0.0000 0.0000 4.0204
Eu Ag Au
1 1 2
Direct
0.0000 0.0000 0.0000 Eu
0.5000 0.5000 0.0000 Ag
0.0000 0.5000 0.5000 Au
0.5000 0.0000 0.5000 Au

=====

Sr3RhS, relaxed, DFT PBE; calculated total energy = -18.893 eV/cell; energy relative to the elements, uncorrected = -2.37 eV/f.u.; distance to the lowest polymorph of the same formula = 0 meV per atom
1.0
5.5841 0.0000 0.0000
0.0000 5.5841 0.0000
0.0000 0.0000 5.5841
Sr Rh S
3 1 1
Direct
0.0000 0.0000 0.5000 Sr
0.0000 0.5000 0.0000 Sr
0.5000 0.0000 0.0000 Sr
0.5000 0.5000 0.5000 Rh
0.0000 0.0000 0.0000 S

=====

Ac3NpP2N8, relaxed, DFT PBE; calculated total energy = -118.396 eV/cell; energy relative to the elements, uncorrected = -15.71 eV/f.u.
1.0
5.7361 0.0000 0.0000
-2.8681 4.9676 0.0000
0.0000 0.0000 7.2870
Ac Np P N
3 1 2 8
Direct
0.0000 0.0000 0.0000 Ac
0.3333 0.6667 0.6779 Ac
0.6667 0.3333 0.3221 Ac
0.0000 0.0000 0.5000 Np
0.3333 0.6667 0.2207 P
0.6667 0.3333 0.7793 P
0.1780 0.3560 0.3124 N
0.1780 0.8220 0.3124 N
0.3333 0.6667 0.0013 N
0.3560 0.1780 0.6876 N
0.6440 0.8220 0.3124 N
0.6667 0.3333 0.9987 N
0.8220 0.1780 0.6876 N
0.8220 0.6440 0.6876 N